Record 1
The following is a PBE calculation of Na2AlZn2Ag5 after structural relaxation, from the Alexandria database.

Calculated values
Energy relative to the elements ... -51.5 meV/atom
Electronic total energy ... -2.370 eV per atom
Space group ... P4/mbm (127)

Geometry as CIF:
```
data_Na2AlZn2Ag5
_chemical_formula_sum 'Na4 Al2 Zn4 Ag10'
_space_group_name_H-M_alt 'P 1'
_space_group_IT_number 1
_cell_length_a 11.2434
_cell_length_b 11.2434
_cell_length_c 3.0693
_cell_angle_alpha 90.00
_cell_angle_beta 90.00
_cell_angle_gamma 90.00
loop_
_space_group_symop_operation_xyz
'x,y,z'
loop_
_atom_site_label
_atom_site_type_symbol
_atom_site_fract_x
_atom_site_fract_y
_atom_site_fract_z
Na1 Na 0.1729 0.3271 0.0000
Na2 Na 0.3271 0.8271 0.0000
Na3 Na 0.6729 0.1729 0.0000
Na4 Na 0.8271 0.6729 0.0000
Al1 Al 0.0000 0.0000 0.0000
Al2 Al 0.5000 0.5000 0.0000
Zn1 Zn 0.1334 0.6334 0.0000
Zn2 Zn 0.3666 0.1334 0.0000
Zn3 Zn 0.6334 0.8666 0.0000
Zn4 Zn 0.8666 0.3666 0.0000
Ag1 Ag 0.0000 0.5000 0.5000
Ag2 Ag 0.0580 0.8124 0.5000
Ag3 Ag 0.1876 0.0580 0.5000
Ag4 Ag 0.3124 0.5580 0.5000
Ag5 Ag 0.4420 0.3124 0.5000
Ag6 Ag 0.5000 0.0000 0.5000
Ag7 Ag 0.5580 0.6876 0.5000
Ag8 Ag 0.6876 0.4420 0.5000
Ag9 Ag 0.8124 0.9420 0.5000
Ag10 Ag 0.9420 0.1876 0.5000
```

Record 2
The following is a PBE calculation of Tb2Dy2Al4Zn after structural relaxation, from the Alexandria database.

Calculated values
Energy relative to the elements ... -139.2 meV/atom
Electronic total energy ... -3.996 eV per atom
Space group ... I4/mmm (139)

Geometry as CIF:
```
data_Tb2Dy2Al4Zn
_chemical_formula_sum 'Tb2 Dy2 Al4 Zn1'
_space_group_name_H-M_alt 'P 1'
_space_group_IT_number 1
_cell_length_a 6.6333
_cell_length_b 6.6333
_cell_length_c 6.6333
_cell_angle_alpha 116.94
_cell_angle_beta 116.94
_cell_angle_gamma 95.39
loop_
_space_group_symop_operation_xyz
'x,y,z'
loop_
_atom_site_label
_atom_site_type_symbol
_atom_site_fract_x
_atom_site_fract_y
_atom_site_fract_z
Tb1 Tb 0.1960 0.1960 0.0000
Tb2 Tb 0.8040 0.8040 0.0000
Dy1 Dy 0.2500 0.7500 0.5000
Dy2 Dy 0.7500 0.2500 0.5000
Al1 Al 0.2541 0.2541 0.5081
Al2 Al 0.2541 0.7459 0.0000
Al3 Al 0.7459 0.2541 0.0000
Al4 Al 0.7459 0.7459 0.4919
Zn1 Zn 0.5000 0.5000 0.0000
```

Record 3
The following is a PBE calculation of Np2IrS after structural relaxation, from the Alexandria database.

Calculated values
Energy relative to the elements, uncorrected ... -0.699 eV per atom
Electronic total energy ... -10.417 eV per atom
Space group ... R-3m (166)

Geometry as CIF:
```
data_Np2IrS
_chemical_formula_sum 'Np2 Ir1 S1'
_space_group_name_H-M_alt 'P 1'
_space_group_IT_number 1
_cell_length_a 7.1664
_cell_length_b 7.1664
_cell_length_c 7.1664
_cell_angle_alpha 31.46
_cell_angle_beta 31.46
_cell_angle_gamma 31.46
loop_
_space_group_symop_operation_xyz
'x,y,z'
loop_
_atom_site_label
_atom_site_type_symbol
_atom_site_fract_x
_atom_site_fract_y
_atom_site_fract_z
Np1 Np 0.2474 0.2474 0.2474
Np2 Np 0.7526 0.7526 0.7526
Ir1 Ir 0.5000 0.5000 0.5000
S1 S 0.0000 0.0000 0.0000
```

Record 4
The following is a PBE calculation of Ba3HgPd3 after structural relaxation, from the Alexandria database.

Calculated values
Energy relative to the elements ... -386.7 meV/atom
Electronic total energy ... -3.479 eV per atom
Space group ... P6_3/m (176)

Geometry as CIF:
```
data_Ba3HgPd3
_chemical_formula_sum 'Ba6 Hg2 Pd6'
_space_group_name_H-M_alt 'P 1'
_space_group_IT_number 1
_cell_length_a 9.6412
_cell_length_b 9.6412
_cell_length_c 6.3624
_cell_angle_alpha 90.00
_cell_angle_beta 90.00
_cell_angle_gamma 120.00
loop_
_space_group_symop_operation_xyz
'x,y,z'
loop_
_atom_site_label
_atom_site_type_symbol
_atom_site_fract_x
_atom_site_fract_y
_atom_site_fract_z
Ba1 Ba 0.0510 0.6967 0.2500
Ba2 Ba 0.3033 0.3544 0.2500
Ba3 Ba 0.3544 0.0510 0.7500
Ba4 Ba 0.6456 0.9490 0.2500
Ba5 Ba 0.6967 0.6456 0.7500
Ba6 Ba 0.9490 0.3033 0.7500
Hg1 Hg 0.3333 0.6667 0.7500
Hg2 Hg 0.6667 0.3333 0.2500
Pd1 Pd 0.0540 0.6829 0.7500
Pd2 Pd 0.3171 0.3711 0.7500
Pd3 Pd 0.3711 0.0540 0.2500
Pd4 Pd 0.6289 0.9460 0.7500
Pd5 Pd 0.6829 0.6289 0.2500
Pd6 Pd 0.9460 0.3171 0.2500
```

Record 5
The following is a PBE calculation of TaAl2Tc after structural relaxation, from the Alexandria database.

Calculated values
Energy relative to the elements ... -381.1 meV/atom
Electronic total energy ... -7.807 eV per atom
Space group ... P4mm (99)

Geometry as CIF:
```
data_TaAl2Tc
_chemical_formula_sum 'Ta1 Al2 Tc1'
_space_group_name_H-M_alt 'P 1'
_space_group_IT_number 1
_cell_length_a 3.2479
_cell_length_b 3.2479
_cell_length_c 5.9352
_cell_angle_alpha 90.00
_cell_angle_beta 90.00
_cell_angle_gamma 90.00
loop_
_space_group_symop_operation_xyz
'x,y,z'
loop_
_atom_site_label
_atom_site_type_symbol
_atom_site_fract_x
_atom_site_fract_y
_atom_site_fract_z
Ta1 Ta 0.0000 0.0000 0.0000
Al1 Al 0.0000 0.0000 0.4786
Al2 Al 0.5000 0.5000 0.7253
Tc1 Tc 0.5000 0.5000 0.2401
```

Record 6
The following is a PBE calculation of La2Dy3Rh2 after structural relaxation, from the Alexandria database.

Calculated values
Energy relative to the elements ... -558.6 meV/atom
Electronic total energy ... -6.039 eV per atom
Space group ... C2/m (12)

Geometry as CIF:
```
data_La2Dy3Rh2
_chemical_formula_sum 'La2 Dy3 Rh2'
_space_group_name_H-M_alt 'P 1'
_space_group_IT_number 1
_cell_length_a 6.4493
_cell_length_b 6.4493
_cell_length_c 9.1672
_cell_angle_alpha 114.60
_cell_angle_beta 114.60
_cell_angle_gamma 34.39
loop_
_space_group_symop_operation_xyz
'x,y,z'
loop_
_atom_site_label
_atom_site_type_symbol
_atom_site_fract_x
_atom_site_fract_y
_atom_site_fract_z
La1 La 0.1662 0.1662 0.3055
La2 La 0.8338 0.8338 0.6945
Dy1 Dy 0.3820 0.3820 0.0745
Dy2 Dy 0.5000 0.5000 0.5000
Dy3 Dy 0.6180 0.6180 0.9255
Rh1 Rh 0.1749 0.1749 0.7437
Rh2 Rh 0.8251 0.8251 0.2563
```

Magnetic moment: 0.000 0.000 7.747 0.000 0.000 0.000 (μB per cell)